1.
Y4Zn | PBE | optimized geometry

Relative energy among the computed polymorphs: 68 kJ/mol of formula units
Energy of formation: 0 kJ/mol of atoms
Magnetization: 0.00 μB/f.u.
Uncorrected energy: -5.422 eV per atom

Cell: 7.2660 7.2660 7.5828 Å, 103.05 103.05 121.91°
Atoms (fractional coordinates):
Y 0.6383 0.4843 0.7478
Y 0.7365 0.8905 0.2522
Y 0.7662 0.0355 0.8531
Y 0.1824 0.9130 0.1469
Y 0.2855 0.5162 0.3531
Y 0.1630 0.9324 0.6469
Y 0.1405 0.4865 0.7522
Y 0.7343 0.3883 0.2478
Zn 0.3287 0.3287 0.0000
Zn 0.5787 0.0787 0.5000



2.
YZn6 | PBE | optimized geometry

Relative energy among the computed polymorphs: 0 kJ/mol of formula units
Energy of formation: -22 kJ/mol of atoms
Magnetization: 0.00 μB/f.u.
Uncorrected energy: -2.239 eV per atom

Cell: 5.3576 8.3288 10.5344 Å, 90.00 90.00 90.00°
Atoms (fractional coordinates):
Y 0.7500 0.2376 0.9421
Y 0.2500 0.7624 0.0579
Y 0.7500 0.7376 0.5579
Y 0.2500 0.2624 0.4421
Zn 0.7500 0.5949 0.0223
Zn 0.2500 0.4051 0.9777
Zn 0.7500 0.0949 0.4777
Zn 0.2500 0.9051 0.5223
Zn 0.0152 0.4333 0.1913
Zn 0.5152 0.5667 0.8087
Zn 0.4848 0.9333 0.3087
Zn 0.9848 0.0667 0.6913
Zn 0.9848 0.5667 0.8087
Zn 0.4848 0.4333 0.1913
Zn 0.5152 0.0667 0.6913
Zn 0.0152 0.9333 0.3087
Zn 0.2500 0.1354 0.1461
Zn 0.7500 0.8646 0.8539
Zn 0.2500 0.6354 0.3539
Zn 0.7500 0.3646 0.6461
Zn 0.2500 0.8099 0.7561
Zn 0.7500 0.1901 0.2439
Zn 0.2500 0.3099 0.7439
Zn 0.7500 0.6901 0.2561
Zn 0.2500 0.5647 0.5921
Zn 0.7500 0.4353 0.4079
Zn 0.2500 0.0647 0.9079
Zn 0.7500 0.9353 0.0921



3.
YZn | PBE | optimized geometry

Energy of formation: 49 kJ/mol of atoms
Magnetization: 0.00 μB/f.u.
Uncorrected energy: -3.359 eV per atom

Cell: 8.5020 8.5020 8.5020 Å, 90.00 90.00 90.00°
Atoms (fractional coordinates):
Y 0.2997 0.2997 0.2997
Y 0.2997 0.7003 0.7003
Y 0.7003 0.2997 0.7003
Y 0.7003 0.7003 0.2997
Y 0.7997 0.7997 0.7997
Y 0.7997 0.2003 0.2003
Y 0.2003 0.7997 0.2003
Y 0.2003 0.2003 0.7997
Zn 0.1107 0.1107 0.1107
Zn 0.1107 0.8893 0.8893
Zn 0.8893 0.1107 0.8893
Zn 0.8893 0.8893 0.1107
Zn 0.6107 0.6107 0.6107
Zn 0.6107 0.3893 0.3893
Zn 0.3893 0.6107 0.3893
Zn 0.3893 0.3893 0.6107



4.
YZn | PBE | optimized geometry

Energy of formation: -6 kJ/mol of atoms
Magnetization: 0.00 μB/f.u.
Uncorrected energy: -3.926 eV per atom

Cell: 3.7440 3.7440 4.2453 Å, 90.00 90.00 120.00°
Atoms (fractional coordinates):
Y 0.0000 0.0000 0.0000
Zn 0.3333 0.6667 0.5000



5.
Y3Zn2 | PBE | optimized geometry

Energy of formation: -11 kJ/mol of atoms
Magnetization: 0.65 μB/f.u.
Uncorrected energy: -4.506 eV per atom

Cell: 11.9968 11.9968 11.9968 Å, 17.41 17.41 17.41°
Atoms (fractional coordinates):
Y 0.0000 0.0000 0.0000
Y 0.7915 0.7915 0.7915
Y 0.2085 0.2085 0.2085
Zn 0.6045 0.6045 0.6045
Zn 0.3955 0.3955 0.3955



6.
Y2ZrZn | PBE | optimized geometry

Energy of formation: -12 kJ/mol of atoms
Magnetization: 0.00 μB/f.u.
Uncorrected energy: -5.812 eV per atom

Cell: 3.4399 3.4397 8.5094 Å, 90.00 90.00 90.00°
Atoms (fractional coordinates):
Y 0.0000 0.0000 0.0227
Y 0.0000 0.0000 0.4773
Zn 0.5000 0.5000 0.2500
Zr 0.5000 0.5000 0.7500



7.
Y2ZrZn3 | PBE | optimized geometry

Energy of formation: -27 kJ/mol of atoms
Magnetization: 0.00 μB/f.u.
Uncorrected energy: -4.499 eV per atom

Cell: 4.9329 4.9329 6.0885 Å, 90.00 90.00 120.00°
Atoms (fractional coordinates):
Y 0.6667 0.3333 0.3258
Y 0.3333 0.6667 0.6742
Zr 0.0000 0.0000 0.0000
Zn 0.0000 0.0000 0.5000
Zn 0.6667 0.3333 0.8393
Zn 0.3333 0.6667 0.1607



8.
Y4ZrZn5 | PBE | optimized geometry

Energy of formation: -31 kJ/mol of atoms
Magnetization: 0.00 μB/f.u.
Uncorrected energy: -4.403 eV per atom

Cell: 3.5368 3.5368 17.5934 Å, 90.00 90.00 90.00°
Atoms (fractional coordinates):
Y 0.0000 0.0000 0.1913
Y 0.0000 0.0000 0.3966
Y 0.0000 0.0000 0.6034
Y 0.0000 0.0000 0.8087
Zr 0.0000 0.0000 0.0000
Zn 0.5000 0.5000 0.0862
Zn 0.5000 0.5000 0.2937
Zn 0.5000 0.5000 0.5000
Zn 0.5000 0.5000 0.7063
Zn 0.5000 0.5000 0.9138



9.
Y2Zr2Zn | PBE | optimized geometry

Relative energy among the computed polymorphs: 0 kJ/mol of formula units
Energy of formation: 12 kJ/mol of atoms
Magnetization: 0.00 μB/f.u.
Uncorrected energy: -6.138 eV per atom

Cell: 7.2567 7.2567 4.9073 Å, 90.00 90.00 90.00°
Atoms (fractional coordinates):
Y 0.1643 0.6643 0.5000
Y 0.6643 0.8357 0.5000
Y 0.8357 0.3357 0.5000
Y 0.3357 0.1643 0.5000
Zn 0.0000 0.0000 0.0000
Zn 0.5000 0.5000 0.0000
Zr 0.3603 0.8603 0.0000
Zr 0.8603 0.6397 0.0000
Zr 0.6397 0.1397 0.0000
Zr 0.1397 0.3603 0.0000



10.
YZr2Zn2 | PBE | optimized geometry

Relative energy among the computed polymorphs: 47 kJ/mol of formula units
Energy of formation: -11 kJ/mol of atoms
Magnetization: 0.00 μB/f.u.
Uncorrected energy: -5.341 eV per atom

Cell: 4.2600 4.2600 6.8520 Å, 71.89 71.89 90.00°
Atoms (fractional coordinates):
Y 0.0000 0.0000 0.0000
Zn 0.4024 0.4024 0.1951
Zn 0.5976 0.5976 0.8049
Zr 0.7500 0.2500 0.5000
Zr 0.2500 0.7500 0.5000



11.
Y2ZrZn4 | PBE | optimized geometry

Energy of formation: -14 kJ/mol of atoms
Magnetization: 0.00 μB/f.u.
Uncorrected energy: -3.945 eV per atom

Cell: 5.0356 5.0356 7.0774 Å, 110.84 110.84 90.00°
Atoms (fractional coordinates):
Y 0.7259 0.7259 0.4517
Y 0.2741 0.2741 0.5483
Zr 0.0000 0.0000 0.0000
Zn 0.3952 0.8952 0.7904
Zn 0.8952 0.3952 0.7904
Zn 0.6048 0.1048 0.2096
Zn 0.1048 0.6048 0.2096



12.
Y2ZrZn | PBE | optimized geometry

Energy of formation: 11 kJ/mol of atoms
Magnetization: 0.00 μB/f.u.
Uncorrected energy: -5.569 eV per atom

Cell: 3.3345 5.8550 6.6292 Å, 51.41 90.00 90.00°
Atoms (fractional coordinates):
Y 0.0000 0.0000 0.0000
Y 0.5000 0.5000 0.0000
Zn 0.5000 0.5000 0.5000
Zr 0.0000 0.0000 0.5000



13.
Y5ZrZn6 | PBE | optimized geometry

Energy of formation: -31 kJ/mol of atoms
Magnetization: 0.00 μB/f.u.
Uncorrected energy: -4.365 eV per atom

Cell: 4.9789 7.0995 7.9175 Å, 90.00 71.67 90.00°
Atoms (fractional coordinates):
Y 0.6692 0.5000 0.6616
Y 0.3337 0.0000 0.3326
Y 0.0000 0.5000 0.0000
Y 0.6663 0.0000 0.6674
Y 0.3308 0.5000 0.3384
Zn 0.8398 0.7589 0.3203
Zn 0.8398 0.2411 0.3203
Zn 0.5000 0.2376 0.0000
Zn 0.5000 0.7624 0.0000
Zn 0.1602 0.7589 0.6797
Zn 0.1602 0.2411 0.6797
Zr 0.0000 0.0000 0.0000



14.
Y2ZrZn | PBE | optimized geometry

Energy of formation: -3 kJ/mol of atoms
Magnetization: 0.00 μB/f.u.
Uncorrected energy: -5.716 eV per atom

Cell: 4.9200 3.4338 6.3227 Å, 74.25 90.00 90.00°
Atoms (fractional coordinates):
Y 0.0000 0.9642 0.9464
Y 0.5000 0.2851 0.3043
Zn 0.0000 0.6896 0.4966
Zr 0.5000 0.5612 0.7526



15.
Y2ZrZn2 | PBE | optimized geometry

Relative energy among the computed polymorphs: 90 kJ/mol of formula units
Energy of formation: 4 kJ/mol of atoms
Magnetization: 1.29 μB/f.u.
Uncorrected energy: -4.765 eV per atom

Cell: 8.3128 8.3128 3.4097 Å, 90.00 90.00 90.00°
Atoms (fractional coordinates):
Y 0.3564 0.8564 0.0000
Y 0.8564 0.6436 0.0000
Y 0.6436 0.1436 0.0000
Y 0.1436 0.3564 0.0000
Zn 0.1566 0.6566 0.5000
Zn 0.6566 0.8434 0.5000
Zn 0.8434 0.3434 0.5000
Zn 0.3434 0.1566 0.5000
Zr 0.0000 0.0000 0.0000
Zr 0.5000 0.5000 0.0000



16.
Y2ZrZn2 | PBE | optimized geometry

Relative energy among the computed polymorphs: 140 kJ/mol of formula units
Energy of formation: 14 kJ/mol of atoms
Magnetization: 0.00 μB/f.u.
Uncorrected energy: -4.660 eV per atom

Cell: 6.8349 6.8349 6.8349 Å, 141.97 141.97 54.88°
Atoms (fractional coordinates):
Y 0.2500 0.7500 0.5000
Y 0.7500 0.2500 0.5000
Zr 0.0000 0.0000 0.0000
Zn 0.5945 0.5945 0.0000
Zn 0.4055 0.4055 0.0000



17.
Y3ZrZn | PBE | optimized geometry

Relative energy among the computed polymorphs: 0 kJ/mol of formula units
Energy of formation: 42 kJ/mol of atoms
Magnetization: 1.57 μB/f.u.
Uncorrected energy: -5.408 eV per atom

Cell: 5.3831 5.3831 5.3831 Å, 90.00 90.00 90.00°
Atoms (fractional coordinates):
Y 0.0000 0.5000 0.0000
Y 0.0000 0.0000 0.5000
Y 0.5000 0.0000 0.0000
Zn 0.0000 0.0000 0.0000
Zr 0.5000 0.5000 0.5000



18.
Y2ZrZn | PBE | optimized geometry

Energy of formation: 0 kJ/mol of atoms
Magnetization: 0.00 μB/f.u.
Uncorrected energy: -5.687 eV per atom

Cell: 10.1828 10.1828 10.1828 Å, 19.62 19.62 19.62°
Atoms (fractional coordinates):
Y 0.9937 0.9937 0.9937
Y 0.5063 0.5063 0.5063
Zn 0.2500 0.2500 0.2500
Zr 0.7500 0.7500 0.7500



19.
Y2ZrZn | PBE | optimized geometry

Energy of formation: 1 kJ/mol of atoms
Magnetization: 0.00 μB/f.u.
Uncorrected energy: -5.673 eV per atom

Cell: 10.3406 10.3406 10.3406 Å, 19.19 19.19 19.19°
Atoms (fractional coordinates):
Y 0.0071 0.0071 0.0071
Y 0.2369 0.2369 0.2369
Zn 0.4960 0.4960 0.4960
Zr 0.7599 0.7599 0.7599



20.
YZr2Zn6 | PBE | optimized geometry

Energy of formation: -30 kJ/mol of atoms
Magnetization: 0.00 μB/f.u.
Uncorrected energy: -3.774 eV per atom

Cell: 3.2893 7.5997 7.5983 Å, 120.01 89.97 90.00°
Atoms (fractional coordinates):
Y 0.0000 0.0000 0.0000
Zr 0.0002 0.3333 0.6666
Zr 0.9998 0.6667 0.3334
Zn 0.4999 0.3379 0.3378
Zn 0.5001 0.6621 0.6622
Zn 0.5001 0.0001 0.6622
Zn 0.5000 0.6620 0.0000
Zn 0.5000 0.3380 0.0000
Zn 0.4999 0.9999 0.3378